No. 1
Entry from Alexandria: a relaxed structure of InGaW2N (PBE).

a = 4.9031 Å, b = 3.6417 Å, c = 4.9031 Å
α = 90.00°, β = 90.00°, γ = 90.00°
Element x y z (fractional)
N: 0.0000 0.5000 0.0000
In: 0.5000 0.5000 0.5000
Ga: 0.0000 0.0000 0.0000
W: 0.0000 0.0000 0.5000
W: 0.5000 0.0000 0.0000

Properties
The calculation puts the energy at -6.14 eV/atom.



No. 2
Entry from Alexandria: a relaxed structure of Na3In8Ga3 (PBE).

a = 4.8619 Å, b = 8.9677 Å, c = 8.9677 Å
α = 78.59°, β = 74.27°, γ = 74.27°
Element x y z (fractional)
Ga: 0.5000 0.0000 0.0000
In: 0.1262 0.2412 0.5065
In: 0.6462 0.6474 0.0602
In: 0.8738 0.4935 0.7588
Na: 0.2175 0.7825 0.7825
Ga: 0.0000 0.1432 0.8568
Ga: 0.0000 0.8568 0.1432
In: 0.1262 0.5065 0.2412
In: 0.3538 0.3526 0.9398
Na: 0.7825 0.2175 0.2175
Na: 0.5000 0.5000 0.5000
In: 0.6462 0.0602 0.6474
In: 0.3538 0.9398 0.3526
In: 0.8738 0.7588 0.4935

Properties
For the formation energy, the calculation gives -0.07 eV per atom.



No. 3
Entry from Alexandria: a relaxed structure of NaIn2Ga (PBE).

a = 4.5371 Å, b = 4.6320 Å, c = 4.6320 Å
α = 90.00°, β = 90.00°, γ = 90.00°
Element x y z (fractional)
In: 0.0000 0.0000 0.5000
In: 0.0000 0.5000 0.0000
Ga: 0.5000 0.5000 0.5000
Na: 0.5000 0.0000 0.0000

Properties
For the formation energy, the calculation gives -0.04 eV per atom.



No. 4
Entry from Alexandria: a relaxed structure of Na2In2Ga (PBE).

a = 7.2887 Å, b = 7.2887 Å, c = 5.1778 Å
α = 90.00°, β = 90.00°, γ = 90.00°
Element x y z (fractional)
Na: 0.6693 0.8307 0.5000
Na: 0.1693 0.6693 0.5000
Na: 0.3307 0.1693 0.5000
In: 0.1424 0.3576 0.0000
In: 0.6424 0.1424 0.0000
Na: 0.8307 0.3307 0.5000
Ga: 0.0000 0.0000 0.0000
In: 0.8576 0.6424 0.0000
Ga: 0.5000 0.5000 0.0000
In: 0.3576 0.8576 0.0000

Properties
For the formation energy, the calculation gives -0.05 eV per atom.



No. 5
Entry from Alexandria: a relaxed structure of NaInGa2 (PBE).

a = 4.4646 Å, b = 4.4604 Å, c = 4.4604 Å
α = 90.00°, β = 90.00°, γ = 90.00°
Element x y z (fractional)
Ga: 0.0000 0.5000 0.0000
Ga: 0.0000 0.0000 0.5000
Na: 0.5000 0.0000 0.0000
In: 0.5000 0.5000 0.5000

Properties
For the formation energy, the calculation gives -0.02 eV per atom.



No. 6
Entry from Alexandria: a relaxed structure of Na4In6Ga (PBE).

a = 6.2315 Å, b = 9.1852 Å, c = 6.2315 Å
α = 70.17°, β = 90.00°, γ = 109.83°
Element x y z (fractional)
Na: 0.9818 0.3542 0.6276
Ga: 0.0000 0.0000 0.0000
In: 0.5624 0.7614 0.8010
In: 0.5000 0.0000 0.0000
In: 0.1990 0.7614 0.4376
Na: 0.0182 0.6458 0.9818
In: 0.0000 0.0000 0.5000
In: 0.4376 0.2386 0.5624
Na: 0.6276 0.6458 0.3724
Na: 0.3724 0.3542 0.0182
In: 0.8010 0.2386 0.1990

Properties
For the formation energy, the calculation gives -0.03 eV per atom.



No. 7
Entry from Alexandria: a relaxed structure of Na17InGa11 (PBE).

a = 9.6995 Å, b = 9.6995 Å, c = 9.7028 Å
α = 109.51°, β = 109.51°, γ = 109.40°
Element x y z (fractional)
Ga: 0.8219 0.1750 0.1740
Na: 0.9976 0.3493 0.9979
Na: 0.6957 0.6957 0.2839
Na: 0.9995 0.3112 0.5943
Na: 0.6488 0.6488 0.6492
Na: 0.4087 0.7258 0.4107
Na: 0.2815 0.6873 0.6878
Ga: 0.9985 0.6446 0.8233
Ga: 0.9990 0.8200 0.6452
Na: 0.4075 0.4075 0.7224
Ga: 0.8200 0.9990 0.6452
Na: 0.9991 0.9991 0.9991
Na: 0.0008 0.0008 0.3498
Na: 0.5931 0.0013 0.3111
Ga: 0.1656 0.1656 0.8057
Na: 0.3112 0.9995 0.5943
Na: 0.7258 0.4087 0.4107
Ga: 0.6446 0.9985 0.8233
Na: 0.0013 0.5931 0.3111
Ga: 0.8239 0.6460 0.0001
Na: 0.6873 0.2815 0.6878
Ga: 0.6460 0.8239 0.0001
Ga: 0.1743 0.3517 0.3615
Na: 0.3493 0.9976 0.9979
Ga: 0.1750 0.8219 0.1740
Na: 0.3117 0.5981 0.9998
Ga: 0.3517 0.1743 0.3615
In: 0.3624 0.3624 0.1787
Na: 0.5981 0.3117 0.9998

Properties
For the formation energy, the calculation gives -0.07 eV per atom.



No. 8
Entry from Alexandria: a relaxed structure of Na3In7Ga2 (PBE).

a = 5.7771 Å, b = 5.9290 Å, c = 10.9501 Å
α = 108.80°, β = 115.12°, γ = 66.10°
Element x y z (fractional)
Na: 0.5000 0.5000 0.0000
Ga: 0.8092 0.8832 0.6893
In: 0.1123 0.5614 0.1728
In: 0.6090 0.0602 0.1731
Ga: 0.1908 0.1168 0.3107
In: 0.3910 0.9398 0.8269
In: 0.2836 0.7820 0.4998
In: 0.7164 0.2180 0.5002
Na: 0.2695 0.3771 0.6471
Na: 0.7305 0.6229 0.3529
In: 0.8877 0.4386 0.8272
In: 0.0000 0.0000 0.0000

Properties
For the formation energy, the calculation gives -0.05 eV per atom.



No. 9
Entry from Alexandria: a relaxed structure of Na2InGa10 (PBE).

a = 5.0804 Å, b = 6.6846 Å, c = 18.4527 Å
α = 90.00°, β = 61.27°, γ = 90.00°
Element x y z (fractional)
Na: 0.5346 0.2782 0.8625
Ga: 0.1114 0.5639 0.8100
Ga: 0.5832 0.8128 0.9476
Ga: 0.8338 0.0344 0.4661
Ga: 0.5832 0.6872 0.4476
Ga: 0.4168 0.3128 0.5524
Ga: 0.1132 0.5325 0.3212
Ga: 0.4168 0.1872 0.0524
Ga: 0.1662 0.5344 0.0339
Ga: 0.8868 0.0325 0.1788
Ga: 0.1662 0.9656 0.5339
Ga: 0.8338 0.4656 0.9661
Ga: 0.8886 0.0639 0.6900
Ga: 0.6421 0.7619 0.7932
In: 0.0000 0.0000 0.0000
Na: 0.4654 0.7218 0.1375
Na: 0.5346 0.2218 0.3625
Ga: 0.8886 0.4361 0.1900
Ga: 0.3579 0.2381 0.2068
Ga: 0.1132 0.9675 0.8212
Ga: 0.3579 0.2619 0.7068
Ga: 0.1114 0.9361 0.3100
In: 0.0000 0.5000 0.5000
Na: 0.4654 0.7782 0.6375
Ga: 0.8868 0.4675 0.6788
Ga: 0.6421 0.7381 0.2932

Properties
For the formation energy, the calculation gives -0.05 eV per atom.



No. 10
Entry from Alexandria: a relaxed structure of NaIn6Ga (PBE).

a = 4.6286 Å, b = 4.6286 Å, c = 9.6150 Å
α = 90.00°, β = 90.00°, γ = 90.00°
Element x y z (fractional)
Na: 0.0000 0.0000 0.0000
Ga: 0.0000 0.0000 0.5000
In: 0.0000 0.5000 0.7449
In: 0.5000 0.0000 0.2551
In: 0.5000 0.5000 0.0000
In: 0.5000 0.5000 0.5000
In: 0.0000 0.5000 0.2551
In: 0.5000 0.0000 0.7449

Properties
For the formation energy, the calculation gives -0.02 eV per atom.



No. 11
Entry from Alexandria: a relaxed structure of NaIn2Ga4 (PBE).

a = 4.0841 Å, b = 4.9015 Å, c = 8.5960 Å
α = 106.57°, β = 90.00°, γ = 90.00°
Element x y z (fractional)
In: 0.5000 0.4119 0.8238
In: 0.5000 0.5881 0.1762
Ga: 0.0000 0.7089 0.4178
Ga: 0.5000 0.8186 0.6371
Ga: 0.0000 0.2911 0.5822
Na: 0.0000 0.0000 0.0000
Ga: 0.5000 0.1814 0.3629

Properties
For the formation energy, the calculation gives -0.01 eV per atom.



No. 12
Entry from Alexandria: a relaxed structure of NaIn9Ga2 (PBE).

a = 4.7823 Å, b = 4.7823 Å, c = 13.4397 Å
α = 90.00°, β = 90.00°, γ = 90.00°
Element x y z (fractional)
In: 0.0000 0.5000 0.1736
In: 0.0000 0.5000 0.8264
In: 0.5000 0.5000 0.0000
Na: 0.0000 0.0000 0.0000
Ga: 0.0000 0.0000 0.6687
In: 0.0000 0.5000 0.5000
In: 0.5000 0.0000 0.8264
Ga: 0.0000 0.0000 0.3313
In: 0.5000 0.5000 0.3346
In: 0.5000 0.0000 0.5000
In: 0.5000 0.0000 0.1736
In: 0.5000 0.5000 0.6654

Properties
For the formation energy, the calculation gives 0.01 eV per atom.



No. 13
Entry from Alexandria: a relaxed structure of NaIn2Ga (PBE).

a = 4.8541 Å, b = 7.3833 Å, c = 11.2470 Å
α = 90.00°, β = 90.00°, γ = 90.00°
Element x y z (fractional)
Ga: 0.7500 0.9320 0.3382
In: 0.2500 0.9549 0.9020
In: 0.7500 0.0451 0.0980
Na: 0.2500 0.7303 0.1811
Ga: 0.7500 0.4320 0.1618
Na: 0.7500 0.2697 0.8189
In: 0.2500 0.8245 0.4649
Ga: 0.2500 0.0680 0.6618
In: 0.7500 0.5451 0.4020
In: 0.2500 0.4549 0.5980
Na: 0.2500 0.2303 0.3189
Ga: 0.2500 0.5680 0.8382
In: 0.7500 0.6755 0.9649
Na: 0.7500 0.7697 0.6811
In: 0.2500 0.3245 0.0351
In: 0.7500 0.1755 0.5351

Properties
For the formation energy, the calculation gives -0.10 eV per atom.



No. 14
Entry from Alexandria: a relaxed structure of Na3In6Ga5 (PBE).

a = 4.7158 Å, b = 10.3833 Å, c = 14.1846 Å
α = 90.00°, β = 90.00°, γ = 90.00°
Element x y z (fractional)
Ga: 0.0000 0.8712 0.3513
Na: 0.0000 0.2529 0.2924
Ga: 0.5000 0.1288 0.8513
In: 0.0000 0.9716 0.8395
In: 0.5000 0.0284 0.3395
Ga: 0.0000 0.7597 0.0000
Ga: 0.5000 0.1288 0.1487
Ga: 0.5000 0.2403 0.5000
Ga: 0.5000 0.4522 0.6379
In: 0.0000 0.4137 0.5000
Ga: 0.0000 0.5478 0.1379
Ga: 0.5000 0.4522 0.3621
Na: 0.5000 0.7445 0.5000
Ga: 0.0000 0.5478 0.8621
Na: 0.0000 0.2555 0.0000
Na: 0.0000 0.2529 0.7076
In: 0.0000 0.9716 0.1605
In: 0.5000 0.9370 0.0000
Ga: 0.0000 0.8712 0.6487
In: 0.5000 0.0284 0.6605
Na: 0.5000 0.7471 0.7924
In: 0.5000 0.3923 0.8361
In: 0.0000 0.0630 0.5000
In: 0.5000 0.5863 0.0000
In: 0.0000 0.6077 0.3361
In: 0.5000 0.3923 0.1639
In: 0.0000 0.6077 0.6639
Na: 0.5000 0.7471 0.2076

Properties
For the formation energy, the calculation gives -0.06 eV per atom.



No. 15
Entry from Alexandria: a relaxed structure of Na2In3Ga2 (PBE).

a = 4.7718 Å, b = 7.5356 Å, c = 10.6551 Å
α = 90.00°, β = 102.94°, γ = 90.00°
Element x y z (fractional)
Na: 0.8410 0.7500 0.6821
Ga: 0.3107 0.4392 0.6215
Ga: 0.3107 0.0608 0.6215
Na: 0.0488 0.7500 0.0976
In: 0.5652 0.4402 0.1304
In: 0.4348 0.5598 0.8696
In: 0.7754 0.2500 0.5508
Ga: 0.6893 0.5608 0.3785
In: 0.5652 0.0598 0.1304
Ga: 0.6893 0.9392 0.3785
In: 0.4348 0.9402 0.8696
In: 0.2246 0.7500 0.4492
Na: 0.9512 0.2500 0.9024
Na: 0.1590 0.2500 0.3179

Properties
For the formation energy, the calculation gives -0.04 eV per atom.



No. 16
Entry from Alexandria: a relaxed structure of NaInGa3 (PBE).

a = 5.3975 Å, b = 5.3975 Å, c = 5.3975 Å
α = 90.00°, β = 90.00°, γ = 90.00°
Element x y z (fractional)
Ga: 0.0000 0.5000 0.0000
Ga: 0.5000 0.0000 0.0000
Na: 0.5000 0.5000 0.5000
Ga: 0.0000 0.0000 0.5000
In: 0.0000 0.0000 0.0000

Properties
For the formation energy, the calculation gives 0.35 eV per atom.



No. 17
Entry from Alexandria: a relaxed structure of Na2In5Ga (PBE).

a = 5.4702 Å, b = 6.8342 Å, c = 6.8342 Å
α = 90.00°, β = 90.00°, γ = 90.00°
Element x y z (fractional)
Ga: 0.0000 0.0000 0.0000
In: 0.5000 0.0000 0.0000
Na: 0.5000 0.5000 0.0000
In: 0.0000 0.7180 0.2821
In: 0.0000 0.2821 0.7180
In: 0.0000 0.2821 0.2821
In: 0.0000 0.7180 0.7180
Na: 0.5000 0.0000 0.5000

Properties
For the formation energy, the calculation gives 0.09 eV per atom.



No. 18
Entry from Alexandria: a relaxed structure of Na4In5Ga2 (PBE).

a = 3.3244 Å, b = 7.9434 Å, c = 10.5241 Å
α = 93.68°, β = 90.00°, γ = 90.00°
Element x y z (fractional)
Na: 0.5000 0.1547 0.8904
In: 0.0000 0.4164 0.7101
Na: 0.5000 0.8453 0.1096
In: 0.0000 0.5836 0.2899
Na: 0.5000 0.7123 0.5529
Na: 0.5000 0.2877 0.4471
In: 0.0000 0.1994 0.1761
In: 0.0000 0.5000 0.0000
Ga: 0.0000 0.0513 0.6267
Ga: 0.0000 0.9487 0.3733
In: 0.0000 0.8006 0.8239

Properties
For the formation energy, the calculation gives -0.07 eV per atom.



No. 19
Entry from Alexandria: a relaxed structure of NaInGa2 (PBE).

a = 4.2626 Å, b = 4.2626 Å, c = 10.9552 Å
α = 78.78°, β = 78.78°, γ = 90.00°
Element x y z (fractional)
Ga: 0.3750 0.3737 0.7500
In: 0.0000 0.0000 0.0000
Na: 0.2500 0.7500 0.5000
Ga: 0.6263 0.1250 0.2500
Ga: 0.1237 0.6250 0.2500
Na: 0.5000 0.5000 0.0000
In: 0.7500 0.2500 0.5000
Ga: 0.8750 0.8763 0.7500

Properties
For the formation energy, the calculation gives 0.12 eV per atom.



No. 20
Entry from Alexandria: a relaxed structure of NaIn6Ga (PBE).

a = 6.6643 Å, b = 6.6643 Å, c = 6.6643 Å
α = 110.75°, β = 110.75°, γ = 110.75°
Element x y z (fractional)
In: 0.2527 0.2527 0.7259
Na: 0.0000 0.0000 0.0000
In: 0.2741 0.7473 0.7473
In: 0.7473 0.2741 0.7473
In: 0.2527 0.7259 0.2527
Ga: 0.5000 0.5000 0.5000
In: 0.7473 0.7473 0.2741
In: 0.7259 0.2527 0.2527

Properties
For the formation energy, the calculation gives 0.02 eV per atom.